# BaTbSnHg (PBE-GGA, relaxed)
# Total moment ... 0.0 μB/cell
# Uncorrected energy ... -3.172 eV per atom
# Calculated formation energy ... -177 kJ/mol of formula units
data_BaTbSnHg
_cell_length_a 7.984
_cell_length_b 7.984
_cell_length_c 7.984
_cell_angle_alpha 90.00
_cell_angle_beta 90.00
_cell_angle_gamma 90.00
_space_group_name_H-M_alt 'F -4 3 m'
_space_group_IT_number 216
_space_group_name_Hall 'F -4 2 3'
loop_
_atom_site_label
_atom_site_type_symbol
_atom_site_fract_x
_atom_site_fract_y
_atom_site_fract_z
_atom_site_occupancy
Ba1 Ba 0.000 0.000 0.000 1
Tb1 Tb 0.000 0.000 0.500 1
Sn1 Sn 0.250 0.250 0.250 1
Hg1 Hg 0.250 0.250 0.750 1